1.
RbSeI2O | PBE | relaxed Values from VASP.

```
&SYSTEM
  ibrav = 0, nat = 5, ntyp = 4
/
ATOMIC_SPECIES
Rb 85.47 Rb.upf
Se 78.96 Se.upf
I 126.90 I.upf
O 16.00 O.upf
ATOMIC_POSITIONS crystal
Rb 0.000 0.000 0.000
Se 0.500 0.500 0.500
I 0.000 0.500 0.000
I 0.500 0.000 0.000
O 0.000 0.000 0.500
CELL_PARAMETERS angstrom
6.665 0.000 0.000
0.000 6.665 0.000
0.000 0.000 4.185
```

Space group ... No. 123
E_tot ... -8.89 eV per cell
DOS at the Fermi energy ... 7.88 states/eV per cell
Total magnetic moment ... 0.18 μB/cell
Theoretical density ... 3.9 g cm⁻³
Energy relative to the elements, uncorrected ... 70 kJ per mole of atoms



2.
RbSe2IO8 | PBE | relaxed Values from VASP.

```
&SYSTEM
  ibrav = 0, nat = 12, ntyp = 4
/
ATOMIC_SPECIES
Rb 85.47 Rb.upf
Se 78.96 Se.upf
I 126.90 I.upf
O 16.00 O.upf
ATOMIC_POSITIONS crystal
Rb 0.000 0.000 0.000
Se 0.203 0.203 0.665
Se 0.797 0.797 0.335
I 0.500 0.500 0.500
O 0.114 0.639 0.287
O 0.171 0.171 0.432
O 0.353 0.353 0.842
O 0.361 0.886 0.713
O 0.639 0.114 0.287
O 0.647 0.647 0.158
O 0.829 0.829 0.568
O 0.886 0.361 0.713
CELL_PARAMETERS angstrom
5.944 -2.770 0.000
5.944 2.770 0.000
-3.691 0.000 6.699
```

Space group ... No. 12
E_tot ... -57.73 eV per cell
DOS at the Fermi energy ... 0.00 states/eV per cell
Total magnetic moment ... 0.00 μB/cell
Theoretical density ... 3.8 g cm⁻³
Energy relative to the elements, uncorrected ... -69 kJ per mole of atoms



3.
Rb6SeI2O | PBE | relaxed Values from VASP.

```
&SYSTEM
  ibrav = 0, nat = 20, ntyp = 4
/
ATOMIC_SPECIES
Rb 85.47 Rb.upf
Se 78.96 Se.upf
I 126.90 I.upf
O 16.00 O.upf
ATOMIC_POSITIONS crystal
Rb 0.002 0.250 0.074
Rb 0.018 0.750 0.490
Rb 0.250 0.519 0.718
Rb 0.250 0.981 0.718
Rb 0.482 0.750 0.490
Rb 0.498 0.250 0.074
Rb 0.502 0.750 0.926
Rb 0.518 0.250 0.510
Rb 0.750 0.019 0.282
Rb 0.750 0.481 0.282
Rb 0.982 0.250 0.510
Rb 0.998 0.750 0.926
Se 0.250 0.250 0.787
Se 0.750 0.750 0.213
I 0.250 0.026 0.301
I 0.250 0.474 0.301
I 0.750 0.526 0.699
I 0.750 0.974 0.699
O 0.250 0.750 0.724
O 0.750 0.250 0.276
CELL_PARAMETERS angstrom
8.341 0.000 0.000
0.000 12.130 0.000
0.000 0.000 9.026
```

Space group ... No. 59
E_tot ... -57.94 eV per cell
Total magnetic moment ... 0.09 μB/cell
Theoretical density ... 3.1 g cm⁻³
Energy relative to the elements, uncorrected ... -112 kJ per mole of atoms



4.
RbSeI2O | PBE | relaxed Values from VASP.

```
&SYSTEM
  ibrav = 0, nat = 5, ntyp = 4
/
ATOMIC_SPECIES
Rb 85.47 Rb.upf
Se 78.96 Se.upf
I 126.90 I.upf
O 16.00 O.upf
ATOMIC_POSITIONS crystal
Rb 0.000 0.000 0.000
Se 0.500 0.500 0.500
I 0.000 0.500 0.500
I 0.500 0.000 0.500
O 0.500 0.500 0.000
CELL_PARAMETERS angstrom
6.232 0.000 0.000
0.000 6.232 0.000
0.000 0.000 3.923
```

Space group ... No. 123
E_tot ... -15.31 eV per cell
DOS at the Fermi energy ... 0.39 states/eV per cell
Total magnetic moment ... 0.00 μB/cell
Theoretical density ... 4.7 g cm⁻³
Energy relative to the elements, uncorrected ... -54 kJ per mole of atoms



5.
Rb2SeI6O | PBE | relaxed Values from VASP.

```
&SYSTEM
  ibrav = 0, nat = 10, ntyp = 4
/
ATOMIC_SPECIES
Rb 85.47 Rb.upf
Se 78.96 Se.upf
I 126.90 I.upf
O 16.00 O.upf
ATOMIC_POSITIONS crystal
Rb 0.250 0.750 0.500
Rb 0.750 0.250 0.500
Se 0.000 0.000 0.000
I 0.227 0.227 0.455
I 0.227 0.773 0.000
I 0.292 0.292 0.000
I 0.708 0.708 0.000
I 0.773 0.227 0.000
I 0.773 0.773 0.545
O 0.500 0.500 0.000
CELL_PARAMETERS angstrom
-4.411 4.411 5.068
4.411 -4.411 5.068
4.411 4.411 -5.068
```

Space group ... No. 139
E_tot ... -24.56 eV per cell
DOS at the Fermi energy ... 8.82 states/eV per cell
Total magnetic moment ... 0.58 μB/cell
Theoretical density ... 4.3 g cm⁻³
Energy relative to the elements, uncorrected ... -47 kJ per mole of atoms



6.
RbSeI2O8 | PBE | relaxed Values from VASP.

```
&SYSTEM
  ibrav = 0, nat = 12, ntyp = 4
/
ATOMIC_SPECIES
Rb 85.47 Rb.upf
Se 78.96 Se.upf
I 126.90 I.upf
O 16.00 O.upf
ATOMIC_POSITIONS crystal
Rb 0.000 0.000 0.000
Se 0.500 0.500 0.500
I 0.219 0.219 0.668
I 0.781 0.781 0.332
O 0.144 0.635 0.305
O 0.177 0.177 0.388
O 0.365 0.856 0.695
O 0.407 0.407 0.688
O 0.593 0.593 0.312
O 0.635 0.144 0.305
O 0.823 0.823 0.612
O 0.856 0.365 0.695
CELL_PARAMETERS angstrom
5.709 -2.824 0.000
5.709 2.824 0.000
-2.258 0.000 6.364
```

Space group ... No. 12
E_tot ... -52.39 eV per cell
DOS at the Fermi energy ... 1.89 states/eV per cell
Total magnetic moment ... 0.00 μB/cell
Theoretical density ... 4.4 g cm⁻³
Energy relative to the elements, uncorrected ... -42 kJ per mole of atoms